Entry 1:
A plane-wave DFT calculation with PBE was carried out for an optimized crystal structure of HoPd4.

The structure in POSCAR format:
```
HoPd4
1.0
4.911 0.000 0.000
0.000 4.911 0.000
0.000 0.000 4.911
Pd Ho
4 1
Direct
0.500 0.000 0.500
0.000 0.500 0.500
0.500 0.500 0.000
0.000 0.000 0.000
0.500 0.500 0.500
```

Results
Formation energy from the elements = 0.6665 eV/atom
Total moment = 0.00 μB/cell
Density of states at the Fermi level = 1.8 states/eV/f.u.
Uncorrected energy = -4.403 eV/atom
V = 23.69 Å³ per atom
Theoretical density = 8.3 g cm⁻³



Entry 2:
A plane-wave DFT calculation with PBE was carried out for an optimized crystal structure of Ho2Pd3.

The structure in POSCAR format:
```
Ho2Pd3
1.0
-3.467 -0.336 -2.709
-3.508 -2.397 1.193
-4.979 4.338 2.239
Pd Ho
3 2
Direct
0.145 0.145 0.565
0.000 0.000 0.000
0.855 0.855 0.435
0.590 0.590 0.229
0.410 0.410 0.771
```

Results
Formation energy from the elements = -0.7764 eV/atom
Total moment = 0.00 μB/cell
Density of states at the Fermi level = 2.4 states/eV/f.u.
Uncorrected energy = -5.723 eV/atom
V = 21.89 Å³ per atom
Theoretical density = 9.8 g cm⁻³



Entry 3:
A plane-wave DFT calculation with PBE was carried out for an optimized crystal structure of Ho2Pd3.

The structure in POSCAR format:
```
Ho2Pd3
1.0
5.718 0.000 0.000
0.000 5.924 0.000
-2.859 -2.962 6.538
Pd Ho
6 4
Direct
0.250 0.000 0.000
0.750 0.000 0.000
0.122 0.825 0.244
0.622 0.419 0.244
0.878 0.175 0.756
0.378 0.581 0.756
0.340 0.075 0.681
0.660 0.925 0.319
0.160 0.394 0.319
0.840 0.606 0.681
```

Results
Formation energy from the elements = -0.7542 eV/atom
Total moment = 0.00 μB/cell
Density of states at the Fermi level = 2.1 states/eV/f.u.
Uncorrected energy = -5.701 eV/atom
V = 22.15 Å³ per atom
Theoretical density = 9.7 g cm⁻³



Entry 4:
A plane-wave DFT calculation with PBE was carried out for an optimized crystal structure of HoPd3.

The structure in POSCAR format:
```
HoPd3
1.0
4.661 0.000 0.000
2.330 4.036 0.000
2.330 1.345 3.805
Pd Ho
3 1
Direct
0.250 0.250 0.250
0.750 0.750 0.750
0.000 0.000 0.000
0.500 0.500 0.500
```

Results
Formation energy from the elements = -0.7313 eV/atom
Total moment = 0.00 μB/cell
Density of states at the Fermi level = 1.1 states/eV/f.u.
Uncorrected energy = -5.770 eV/atom
V = 17.90 Å³ per atom
Theoretical density = 11.2 g cm⁻³



Entry 5:
A plane-wave DFT calculation with PBE was carried out for an optimized crystal structure of HoPd4.

The structure in POSCAR format:
```
HoPd4
1.0
4.197 0.000 -1.226
-0.636 5.231 -2.178
0.002 0.142 7.805
Pd Ho
8 2
Direct
0.304 0.314 0.609
0.696 0.686 0.391
0.108 0.358 0.216
0.304 0.795 0.609
0.696 0.205 0.391
0.500 0.000 0.000
0.500 0.500 0.000
0.892 0.642 0.784
0.106 0.856 0.212
0.894 0.144 0.788
```

Results
Formation energy from the elements = -0.6774 eV/atom
Total moment = 0.00 μB/cell
Density of states at the Fermi level = 3.9 states/eV/f.u.
Uncorrected energy = -5.747 eV/atom
V = 17.28 Å³ per atom
Theoretical density = 11.4 g cm⁻³



Entry 6:
A plane-wave DFT calculation with PBE was carried out for an optimized crystal structure of Ho4Pd3.

The structure in POSCAR format:
```
Ho4Pd3
1.0
4.696 0.000 1.400
2.139 4.181 1.400
0.018 0.011 8.517
Pd Ho
3 4
Direct
0.751 0.751 0.747
0.000 0.000 0.000
0.249 0.249 0.253
0.125 0.125 0.624
0.875 0.875 0.376
0.625 0.625 0.126
0.375 0.375 0.874
```

Results
Formation energy from the elements = -0.7345 eV/atom
Total moment = 0.00 μB/cell
Density of states at the Fermi level = 5.2 states/eV/f.u.
Uncorrected energy = -5.576 eV/atom
V = 23.87 Å³ per atom
Theoretical density = 9.7 g cm⁻³